Computed, not measured: a relaxed SmZnInSe3 crystal at the PBE level of DFT.

Output
Relative energy among the computed polymorphs in eV per formula unit: 0.09
Symmetry: Pnma (62)

abc: 14.7699 4.1599 11.2721
angles: 90.00 90.00 90.00
Sites, in units of the cell vectors:
Sm 0.0255 0.2500 0.1591
Sm 0.4745 0.7500 0.6591
Sm 0.5255 0.2500 0.3409
Sm 0.9745 0.7500 0.8409
Zn 0.0185 0.7500 0.4020
Zn 0.4815 0.2500 0.9020
Zn 0.5185 0.7500 0.0980
Zn 0.9815 0.2500 0.5980
In 0.2430 0.2500 0.4633
In 0.2570 0.7500 0.9633
In 0.7430 0.2500 0.0367
In 0.7570 0.7500 0.5367
Se 0.0811 0.7500 0.6119
Se 0.1011 0.2500 0.9221
Se 0.1431 0.7500 0.2553
Se 0.3569 0.2500 0.7553
Se 0.3989 0.7500 0.4221
Se 0.4189 0.2500 0.1119
Se 0.5811 0.7500 0.8881
Se 0.6011 0.2500 0.5779
Se 0.6431 0.7500 0.2447
Se 0.8569 0.2500 0.7447
Se 0.8989 0.7500 0.0779
Se 0.9189 0.2500 0.3881

***

Computed, not measured: a relaxed CoCuH6 crystal at the PBE level of DFT.

Output
Symmetry: P-1 (2)

abc: 2.6283 4.4014 4.4414
angles: 67.48 73.31 72.99
Sites, in units of the cell vectors:
Co 0.0000 0.0000 0.0000
Cu 0.5000 0.5000 0.5000
H 0.0710 0.6194 0.2338
H 0.2161 0.8163 0.7397
H 0.3627 0.1014 0.1818
H 0.6373 0.8986 0.8182
H 0.7839 0.1837 0.2603
H 0.9290 0.3806 0.7662

***

Computed, not measured: a relaxed TaBeW crystal at the PBE level of DFT.

Output
Relative energy among the computed polymorphs in eV per formula unit: 0.00
Symmetry: F-43m (216)

abc: 4.0216 4.0216 4.0216
angles: 60.00 60.00 60.00
Sites, in units of the cell vectors:
Ta 0.0000 0.0000 0.0000
Be 0.2500 0.2500 0.2500
W 0.5000 0.5000 0.5000

***

no.,calculated total energy (eV per atom),size of the total moment (Bohr magnetons per cell)
1,-4.25,0.01
2,-3.70,0.00
3,-9.05,0.00